An optimized crystal structure of SrBe4Tc. Source: Alexandria, functional PBE-GGA.

Geometry as POSCAR:
```
SrBe4Tc
1.0
-3.600 -2.617 -1.895
-4.183 2.130 -1.168
-1.212 0.563 -4.649
Sr Be Tc
1 4 1
direct
0.750 0.750 0.750
0.897 0.368 0.368
0.368 0.368 0.897
0.368 0.897 0.368
0.368 0.368 0.368
0.000 0.000 0.000
```

Results
Total magnetic moment (μB/atom): 0.415
DOS at the Fermi energy (states/eV/atom): 0.566
Energy of formation from the pure elements (eV/f.u.): 2.715